(A)
The following is a DFT calculation (PBE) of a geometry-optimized HoTmIrPt structure.

Calculated values
Space group: F-43m, No. 216
DOS at the Fermi energy (states/eV/atom): 0.477
Total magnetic moment (μB/cell): 0.0

abc: 4.849 4.849 4.849
angles: 60.00 60.00 60.00
Fractional positions:
Ho: 0.000 0.000 0.000
Tm: 0.500 0.500 0.500
Ir: 0.250 0.250 0.250
Pt: 0.750 0.750 0.750



(B)
The following is a DFT calculation (PBE) of a geometry-optimized HoTmIrPt structure.

Calculated values
Space group: P4mm, No. 99
DOS at the Fermi energy (states/eV/atom): 0.441
Total magnetic moment (μB/cell): 0.0

abc: 3.424 3.424 6.880
angles: 90.00 90.00 90.00
Fractional positions:
Tm: 0.500 0.500 0.100
Pt: 0.000 0.000 0.353
Ho: 0.500 0.500 0.615
Ir: 0.000 0.000 0.860



List of relative energies, unit meV per atom: (A) 16; (B) 0



(A)
The following is a DFT calculation (PBE) of a geometry-optimized HoPuIr structure.

Calculated values
Space group: P3m1, No. 156
DOS at the Fermi energy (states/eV/atom): 2.449
Total magnetic moment (μB/cell): 5.6

abc: 3.249 4.799 4.799
angles: 120.00 90.00 90.00
Each line ends with the local moment (μB).
Fractional positions:
Ir: 0.362 0.667 0.333  -0.09
Pu: 0.622 0.333 0.667  5.30
Ho: 0.017 0.000 0.000  0.21



(B)
The following is a DFT calculation (PBE) of a geometry-optimized HoPuIr structure.

Calculated values
Space group: I4mm, No. 107
DOS at the Fermi energy (states/eV/atom): 2.886
Total magnetic moment (μB/cell): 5.8

abc: 3.464 3.464 6.486
angles: 105.49 105.49 90.00
Each line ends with the local moment (μB).
Fractional positions:
Ho: 0.252 0.252 0.503  0.28
Pu: 0.981 0.981 0.961  5.29
Ir: 0.618 0.618 0.235  -0.21



(C)
The following is a DFT calculation (PBE) of a geometry-optimized HoPuIr structure.

Calculated values
Space group: F-43m, No. 216
DOS at the Fermi energy (states/eV/atom): 3.184
Total magnetic moment (μB/cell): 5.8

abc: 4.783 4.783 4.783
angles: 60.00 60.00 60.00
Each line ends with the local moment (μB).
Fractional positions:
Ho: 0.000 0.000 0.000  0.25
Ir: 0.250 0.250 0.250  -0.12
Pu: 0.500 0.500 0.500  5.32



List of relative energies, unit meV per atom: (A) 208; (B) 70; (C) 0



(A)
The following is a DFT calculation (PBE) of a geometry-optimized Ho3IrRh structure.

Calculated values
Space group: P-1, No. 2
DOS at the Fermi energy (states/eV/atom): 0.554
Total magnetic moment (μB/cell): 0.0

abc: 6.822 6.811 7.448
angles: 62.85 62.80 60.19
Fractional positions:
Ir: 0.329 0.328 0.015
Ho: 0.251 0.597 0.248
Rh: 0.171 0.171 0.485
Ho: 0.749 0.403 0.752
Ho: 0.904 0.252 0.247
Ho: 0.096 0.748 0.753
Ir: 0.671 0.672 0.985
Ho: 0.404 0.095 0.752
Ho: 0.596 0.905 0.248
Rh: 0.829 0.829 0.515



(B)
The following is a DFT calculation (PBE) of a geometry-optimized Ho3IrRh structure.

Calculated values
Space group: C2/c, No. 15
DOS at the Fermi energy (states/eV/atom): 0.677
Total magnetic moment (μB/cell): 0.0

abc: 6.459 8.448 9.960
angles: 115.09 108.67 90.00
Fractional positions:
Rh: 0.750 0.003 0.000
Ho: 0.049 0.293 0.097
Ir: 0.239 0.088 0.574
Ho: 0.071 0.779 0.629
Ir: 0.739 0.486 0.574
Ho: 0.110 0.752 0.290
Rh: 0.250 0.997 0.000
Ho: 0.429 0.150 0.371
Ho: 0.571 0.850 0.629
Ir: 0.261 0.514 0.426
Rh: 0.750 0.500 0.000
Ho: 0.951 0.707 0.903
Ho: 0.451 0.197 0.903
Ho: 0.610 0.538 0.290
Ho: 0.890 0.248 0.710
Ir: 0.761 0.912 0.426
Ho: 0.929 0.221 0.371
Ho: 0.390 0.462 0.710
Rh: 0.250 0.500 0.000
Ho: 0.549 0.803 0.097



List of relative energies, unit meV per atom: (A) 37; (B) 0



(A)
The following is a DFT calculation (PBE) of a geometry-optimized Ho8IrRu2 structure.

Calculated values
Space group: Cm, No. 8
DOS at the Fermi energy (states/eV/atom): 0.919
Total magnetic moment (μB/cell): 0.0

abc: 5.902 7.512 7.512
angles: 113.29 100.79 100.79
Fractional positions:
Ho: 0.387 0.927 0.668
Ru: 0.485 0.317 0.696
Ho: 0.799 0.642 0.642
Ho: 0.989 0.788 0.212
Ho: 0.579 0.343 0.083
Ho: 0.176 0.360 0.360
Ho: 0.387 0.668 0.927
Ho: 0.579 0.083 0.343
Ir: 0.144 0.998 0.998
Ho: 0.989 0.212 0.788
Ru: 0.485 0.696 0.317



(B)
The following is a DFT calculation (PBE) of a geometry-optimized Ho8IrRu2 structure.

Calculated values
Space group: C2/m, No. 12
DOS at the Fermi energy (states/eV/atom): 0.896
Total magnetic moment (μB/cell): 0.0

abc: 4.842 6.802 8.985
angles: 106.66 105.63 90.00
Fractional positions:
Ir: 0.500 0.000 0.000
Ho: 0.795 0.685 0.591
Ru: 0.185 0.700 0.371
Ho: 0.969 0.209 0.937
Ho: 0.031 0.791 0.063
Ho: 0.205 0.315 0.409
Ho: 0.332 0.035 0.665
Ho: 0.668 0.965 0.335
Ho: 0.405 0.550 0.809
Ru: 0.815 0.300 0.629
Ho: 0.595 0.450 0.191



List of relative energies, unit meV per atom: (A) 53; (B) 0



(A)
The following is a DFT calculation (PBE) of a geometry-optimized Ho6IrRu2 structure.

Calculated values
Space group: Fmmm, No. 69
DOS at the Fermi energy (states/eV/atom): 0.537
Total magnetic moment (μB/cell): 0.0

abc: 4.769 6.955 7.549
angles: 83.78 71.59 69.95
Fractional positions:
Ir: 0.000 0.500 0.500
Ho: 0.705 0.755 0.835
Ho: 0.960 0.245 0.835
Ho: 0.628 0.245 0.500
Ru: 0.667 0.500 0.166
Ho: 0.372 0.755 0.500
Ho: 0.040 0.755 0.165
Ho: 0.295 0.245 0.165
Ru: 0.333 0.500 0.834



(B)
The following is a DFT calculation (PBE) of a geometry-optimized Ho6IrRu2 structure.

Calculated values
Space group: P2_1/c, No. 14
DOS at the Fermi energy (states/eV/atom): 0.560
Total magnetic moment (μB/cell): 0.0

abc: 6.573 7.312 9.461
angles: 90.00 88.10 90.00
Fractional positions:
Ru: 0.034 0.629 0.276
Ho: 0.826 0.671 0.572
Ho: 0.349 0.830 0.428
Ru: 0.966 0.371 0.724
Ho: 0.674 0.171 0.928
Ho: 0.151 0.330 0.072
Ho: 0.326 0.829 0.072
Ir: 0.500 0.500 0.000
Ho: 0.651 0.170 0.572
Ru: 0.534 0.871 0.776
Ho: 0.836 0.956 0.240
Ho: 0.174 0.329 0.428
Ho: 0.336 0.544 0.740
Ru: 0.466 0.129 0.224
Ho: 0.849 0.670 0.928
Ho: 0.664 0.456 0.260
Ho: 0.164 0.044 0.760
Ir: 0.000 0.000 0.500



List of relative energies, unit meV per atom: (A) 0; (B) 30



(A)
The following is a DFT calculation (PBE) of a geometry-optimized Ho4SbIr structure.

Calculated values
Space group: P2/m, No. 10
DOS at the Fermi energy (states/eV/atom): 0.867
Total magnetic moment (μB/cell): 0.0

abc: 6.865 6.865 8.772
angles: 112.92 112.96 90.12
Fractional positions:
Ho: 0.138 0.638 0.277
Ho: 0.362 0.362 0.723
Ho: 0.862 0.362 0.723
Sb: 0.250 0.750 0.000
Ho: 0.362 0.862 0.723
Ir: 0.000 0.000 0.500
Ho: 0.638 0.138 0.277
Ir: 0.500 0.500 0.500
Ho: 0.139 0.138 0.277
Ho: 0.638 0.638 0.277
Sb: 0.750 0.250 0.000
Ho: 0.861 0.862 0.723



(B)
The following is a DFT calculation (PBE) of a geometry-optimized Ho4SbIr structure.

Calculated values
Space group: P2_1/m, No. 11
DOS at the Fermi energy (states/eV/atom): 0.881
Total magnetic moment (μB/cell): 0.0

abc: 6.076 6.462 8.725
angles: 90.00 110.37 90.00
Fractional positions:
Ir: 0.271 0.250 0.572
Ho: 0.398 0.750 0.112
Ho: 0.995 0.501 0.295
Sb: 0.799 0.750 0.955
Ho: 0.995 0.999 0.295
Ho: 0.005 0.499 0.705
Ir: 0.729 0.750 0.428
Ho: 0.433 0.750 0.601
Ho: 0.005 0.001 0.705
Ho: 0.567 0.250 0.399
Ho: 0.602 0.250 0.888
Sb: 0.201 0.250 0.045



List of relative energies, unit meV per atom: (A) 86; (B) 0



(A)
The following is a DFT calculation (PBE) of a geometry-optimized Ho2IrSe structure.

Calculated values
Space group: Cmcm, No. 63
DOS at the Fermi energy (states/eV/atom): 0.662
Total magnetic moment (μB/cell): 0.0

abc: 4.124 3.943 11.407
angles: 99.95 90.00 90.00
Fractional positions:
Se: 0.250 0.194 0.389
Se: 0.750 0.806 0.611
Ir: 0.750 0.543 0.086
Ho: 0.750 0.670 0.340
Ho: 0.750 0.937 0.873
Ho: 0.250 0.330 0.660
Ho: 0.250 0.063 0.127
Ir: 0.250 0.457 0.914



(B)
The following is a DFT calculation (PBE) of a geometry-optimized Ho2IrSe structure.

Calculated values
Space group: P4/mmm, No. 123
DOS at the Fermi energy (states/eV/atom): 0.296
Total magnetic moment (μB/cell): 0.0

abc: 3.461 3.461 7.222
angles: 90.00 90.00 90.00
Fractional positions:
Ho: 0.000 0.000 0.769
Ho: 0.000 0.000 0.231
Ir: 0.500 0.500 0.000
Se: 0.500 0.500 0.500



List of relative energies, unit meV per atom: (A) 0; (B) 160



(A)
The following is a DFT calculation (PBE) of a geometry-optimized Ho2Si3Ir2 structure.

Calculated values
Space group: Cmcm, No. 63
DOS at the Fermi energy (states/eV/atom): 0.493
Total magnetic moment (μB/cell): 0.0

abc: 4.076 6.959 8.912
angles: 90.00 103.22 90.00
Fractional positions:
Ho: 0.154 0.250 0.309
Si: 0.773 0.250 0.547
Si: 0.561 0.428 0.123
Ho: 0.846 0.750 0.691
Si: 0.439 0.572 0.877
Ho: 0.942 0.250 0.884
Ir: 0.309 0.451 0.618
Si: 0.439 0.928 0.877
Si: 0.227 0.750 0.453
Ir: 0.691 0.951 0.382
Ho: 0.058 0.750 0.116
Ir: 0.309 0.049 0.618
Ir: 0.691 0.549 0.382
Si: 0.561 0.072 0.123



(B)
The following is a DFT calculation (PBE) of a geometry-optimized Ho2Si3Ir2 structure.

Calculated values
Space group: C2/m, No. 12
DOS at the Fermi energy (states/eV/atom): 0.494
Total magnetic moment (μB/cell): 0.0

abc: 4.118 5.442 6.573
angles: 113.62 90.00 112.23
Fractional positions:
Si: 0.500 0.000 0.000
Ir: 0.864 0.728 0.774
Ho: 0.849 0.698 0.226
Si: 0.379 0.759 0.561
Ho: 0.151 0.302 0.774
Ir: 0.136 0.272 0.226
Si: 0.621 0.241 0.439



List of relative energies, unit meV per atom: (A) 0; (B) 81



(A)
The following is a DFT calculation (PBE) of a geometry-optimized HoSi2Ir4 structure.

Calculated values
Space group: Cmmm, No. 65
DOS at the Fermi energy (states/eV/atom): 0.409
Total magnetic moment (μB/cell): 0.0

abc: 4.015 4.076 7.138
angles: 106.59 90.00 90.00
Fractional positions:
Ir: 0.500 0.825 0.651
Ir: 0.000 0.680 0.361
Si: 0.500 0.588 0.175
Ir: 0.000 0.320 0.639
Si: 0.500 0.412 0.825
Ir: 0.500 0.175 0.349
Ho: 0.000 0.000 0.000



(B)
The following is a DFT calculation (PBE) of a geometry-optimized HoSi2Ir4 structure.

Calculated values
Space group: Pnma, No. 62
DOS at the Fermi energy (states/eV/atom): 0.396
Total magnetic moment (μB/cell): 0.0

abc: 3.996 6.541 16.617
angles: 90.00 90.00 90.00
Fractional positions:
Ir: 0.250 0.162 0.528
Si: 0.750 0.239 0.957
Ir: 0.250 0.533 0.417
Si: 0.750 0.031 0.227
Ho: 0.250 0.477 0.863
Ho: 0.250 0.023 0.363
Si: 0.750 0.261 0.457
Ir: 0.750 0.033 0.083
Ir: 0.250 0.234 0.191
Ir: 0.250 0.266 0.691
Ir: 0.750 0.734 0.309
Si: 0.250 0.531 0.273
Si: 0.750 0.469 0.727
Ho: 0.750 0.977 0.637
Ir: 0.750 0.176 0.814
Ir: 0.750 0.838 0.472
Ir: 0.750 0.662 0.972
Ir: 0.750 0.766 0.809
Ir: 0.750 0.467 0.583
Si: 0.250 0.739 0.543
Ho: 0.750 0.523 0.137
Ir: 0.750 0.324 0.314
Ir: 0.250 0.824 0.186
Si: 0.250 0.969 0.773
Si: 0.250 0.761 0.043
Ir: 0.250 0.338 0.028
Ir: 0.250 0.967 0.917
Ir: 0.250 0.676 0.686



List of relative energies, unit meV per atom: (A) 34; (B) 0



(A)
The following is a DFT calculation (PBE) of a geometry-optimized Sm2Ho2Ir3 structure.

Calculated values
Space group: P-1, No. 2
DOS at the Fermi energy (states/eV/atom): 0.421
Total magnetic moment (μB/cell): 0.0

abc: 4.457 5.929 7.475
angles: 98.75 89.94 112.10
Fractional positions:
Ir: 0.810 0.621 0.264
Ho: 0.640 0.280 0.936
Ir: 0.000 0.000 0.000
Ho: 0.360 0.720 0.064
Sm: 0.864 0.727 0.645
Ir: 0.190 0.379 0.736
Sm: 0.136 0.273 0.355



(B)
The following is a DFT calculation (PBE) of a geometry-optimized Sm2Ho2Ir3 structure.

Calculated values
Space group: R-3m, No. 166
DOS at the Fermi energy (states/eV/atom): 0.453
Total magnetic moment (μB/cell): 0.0

abc: 4.818 4.821 8.537
angles: 90.01 106.39 119.97
Fractional positions:
Sm: 0.751 0.875 0.627
Ir: 0.000 0.000 0.000
Ho: 0.749 0.375 0.123
Ir: 0.496 0.749 0.244
Ho: 0.251 0.625 0.877
Sm: 0.249 0.125 0.373
Ir: 0.504 0.251 0.756



List of relative energies, unit meV per atom: (A) 149; (B) 0